! SrIn2Au SCAN PBEsol geometry; values from VASP
&SYSTEM
  ibrav = 0, nat = 4, ntyp = 3
/
ATOMIC_SPECIES
Sr 87.62 Sr.upf
In 114.82 In.upf
Au 196.97 Au.upf
ATOMIC_POSITIONS crystal
Sr 0.000 0.000 0.000
In 0.000 0.000 0.449
In 0.500 0.500 0.685
Au 0.500 0.500 0.262
CELL_PARAMETERS angstrom
3.654 0.000 0.000
0.000 3.654 0.000
0.000 0.000 7.576
! Calculated volume ... 101.1 Å³/f.u.
! E_form ... -0.442 eV/atom

***

! NaZrPO2 SCAN PBEsol geometry; values from VASP
&SYSTEM
  ibrav = 0, nat = 5, ntyp = 4
/
ATOMIC_SPECIES
Na 22.99 Na.upf
Zr 91.22 Zr.upf
P 30.97 P.upf
O 16.00 O.upf
ATOMIC_POSITIONS crystal
Na 0.000 0.000 0.000
Zr 0.500 0.500 0.500
P 0.000 0.000 0.500
O 0.000 0.500 0.000
O 0.500 0.000 0.000
CELL_PARAMETERS angstrom
3.957 0.000 0.000
0.000 3.957 0.000
0.000 0.000 4.372
! Raw formation energy ... -0.13 eV per atom
! Calculated volume ... 68.5 Å³/f.u.

***

! ReIr3 SCAN PBEsol geometry; values from VASP
&SYSTEM
  ibrav = 0, nat = 4, ntyp = 2
/
ATOMIC_SPECIES
Re 186.21 Re.upf
Ir 192.22 Ir.upf
ATOMIC_POSITIONS crystal
Re 0.000 0.000 0.000
Ir 0.000 0.000 0.500
Ir 0.500 0.500 0.248
Ir 0.500 0.500 0.752
CELL_PARAMETERS angstrom
2.702 0.000 0.000
0.000 3.853 0.000
0.000 0.000 5.429
! Calculated volume ... 56.5 Å³/f.u.
! E_form ... -0.133 eV/atom

***

! MgFe2Ag SCAN PBEsol geometry; values from VASP
&SYSTEM
  ibrav = 0, nat = 4, ntyp = 3
/
ATOMIC_SPECIES
Mg 24.30 Mg.upf
Fe 55.84 Fe.upf
Ag 107.87 Ag.upf
ATOMIC_POSITIONS crystal
Mg 0.000 0.000 0.000
Fe 0.531 0.531 0.000
Fe 0.733 0.233 0.500
Ag 0.270 0.770 0.500
CELL_PARAMETERS angstrom
-1.489 2.240 4.306
1.489 -2.240 4.306
1.489 2.240 -4.306
! Calculated volume ... 57.4 Å³/f.u.
! E_form ... 0.228 eV/atom

***

! HgI3Cl SCAN PBEsol geometry; values from VASP
&SYSTEM
  ibrav = 0, nat = 5, ntyp = 3
/
ATOMIC_SPECIES
Hg 200.59 Hg.upf
I 126.90 I.upf
Cl 35.45 Cl.upf
ATOMIC_POSITIONS crystal
Hg 0.000 0.000 0.000
I 0.000 0.000 0.500
I 0.000 0.500 0.000
I 0.500 0.000 0.000
Cl 0.500 0.500 0.500
CELL_PARAMETERS angstrom
5.708 0.000 0.000
0.000 5.708 0.000
0.000 0.000 5.708
! Raw formation energy ... 0.29 eV per atom
! Calculated volume ... 186.0 Å³/f.u.

***

! AlReMo2 SCAN PBEsol geometry; values from VASP
&SYSTEM
  ibrav = 0, nat = 4, ntyp = 3
/
ATOMIC_SPECIES
Al 26.98 Al.upf
Re 186.21 Re.upf
Mo 95.94 Mo.upf
ATOMIC_POSITIONS crystal
Al 0.000 0.000 0.000
Re 0.500 0.500 0.000
Mo 0.257 0.757 0.500
Mo 0.743 0.243 0.500
CELL_PARAMETERS angstrom
-1.555 2.137 4.411
1.555 -2.137 4.411
1.555 2.137 -4.411
! Calculated volume ... 58.7 Å³/f.u.
! E_form ... -0.218 eV/atom

***

! Mg2AsOs SCAN PBEsol geometry; values from VASP
&SYSTEM
  ibrav = 0, nat = 4, ntyp = 3
/
ATOMIC_SPECIES
Mg 24.30 Mg.upf
As 74.92 As.upf
Os 190.23 Os.upf
ATOMIC_POSITIONS crystal
Mg 0.000 0.000 0.000
Mg 0.500 0.329 0.329
As 0.500 0.602 0.602
Os 0.000 0.727 0.727
CELL_PARAMETERS angstrom
4.083 0.000 0.000
0.000 1.638 5.127
0.000 -1.638 5.127
! Calculated volume ... 68.6 Å³/f.u.
! E_form ... -0.119 eV/atom

***

! NaAlGeO4 SCAN PBEsol geometry; values from VASP
&SYSTEM
  ibrav = 0, nat = 28, ntyp = 4
/
ATOMIC_SPECIES
Na 22.99 Na.upf
Al 26.98 Al.upf
Ge 72.64 Ge.upf
O 16.00 O.upf
ATOMIC_POSITIONS crystal
Na 0.000 0.090 0.000
Na 0.000 0.910 0.500
Na 0.500 0.401 0.482
Na 0.500 0.599 0.982
Al 0.500 0.148 0.319
Al 0.500 0.362 0.804
Al 0.500 0.638 0.304
Al 0.500 0.852 0.819
Ge 0.000 0.138 0.683
Ge 0.000 0.352 0.154
Ge 0.000 0.648 0.654
Ge 0.000 0.862 0.183
O 0.000 0.035 0.263
O 0.000 0.266 0.348
O 0.000 0.321 0.668
O 0.000 0.401 0.944
O 0.000 0.599 0.444
O 0.000 0.679 0.168
O 0.000 0.734 0.848
O 0.000 0.965 0.763
O 0.500 0.103 0.540
O 0.500 0.175 0.820
O 0.500 0.233 0.119
O 0.500 0.465 0.211
O 0.500 0.535 0.711
O 0.500 0.767 0.619
O 0.500 0.825 0.320
O 0.500 0.897 0.040
CELL_PARAMETERS angstrom
2.852 0.000 0.000
0.000 10.361 0.000
0.000 0.000 8.862
! Raw formation energy ... -2.43 eV per atom
! Calculated volume ... 65.5 Å³/f.u.

***

! Nd2MnFeO6 SCAN PBEsol geometry; values from VASP
&SYSTEM
  ibrav = 0, nat = 20, ntyp = 4
/
ATOMIC_SPECIES
Nd 144.24 Nd.upf
Mn 54.94 Mn.upf
Fe 55.84 Fe.upf
O 16.00 O.upf
ATOMIC_POSITIONS crystal
Nd 0.239 0.051 0.250
Nd 0.239 0.449 0.750
Nd 0.761 0.551 0.250
Nd 0.761 0.949 0.750
Mn 0.000 0.000 0.500
Mn 0.000 0.500 0.000
Fe 0.500 0.000 0.000
Fe 0.500 0.500 0.500
O 0.163 0.217 0.959
O 0.163 0.283 0.459
O 0.244 0.706 0.960
O 0.244 0.794 0.460
O 0.321 0.014 0.745
O 0.321 0.486 0.245
O 0.679 0.514 0.755
O 0.679 0.986 0.255
O 0.756 0.206 0.540
O 0.756 0.294 0.040
O 0.837 0.717 0.541
O 0.837 0.783 0.041
CELL_PARAMETERS angstrom
5.370 0.000 0.000
0.000 5.492 0.000
-5.367 0.000 7.632
! Raw formation energy ... -2.89 eV per atom
! Calculated volume ... 112.6 Å³/f.u.

***

! LaCo2Ru SCAN PBEsol geometry; values from VASP
&SYSTEM
  ibrav = 0, nat = 4, ntyp = 3
/
ATOMIC_SPECIES
La 138.91 La.upf
Co 58.93 Co.upf
Ru 101.07 Ru.upf
ATOMIC_POSITIONS crystal
La 0.000 0.000 0.000
Co 0.500 0.500 0.318
Co 0.500 0.500 0.682
Ru 0.000 0.000 0.500
CELL_PARAMETERS angstrom
2.751 0.000 0.000
0.000 3.426 0.000
0.000 0.000 6.487
! Calculated volume ... 61.1 Å³/f.u.
! E_form ... 0.393 eV/atom

***

! SnSb2SI SCAN PBEsol geometry; values from VASP
&SYSTEM
  ibrav = 0, nat = 5, ntyp = 4
/
ATOMIC_SPECIES
Sn 118.71 Sn.upf
Sb 121.76 Sb.upf
S 32.06 S.upf
I 126.90 I.upf
ATOMIC_POSITIONS crystal
Sn 0.000 0.000 0.000
Sb 0.000 0.500 0.000
Sb 0.500 0.000 0.000
S 0.500 0.500 0.500
I 0.000 0.000 0.500
CELL_PARAMETERS angstrom
5.637 0.000 0.000
0.000 5.637 0.000
0.000 0.000 5.539
! Raw formation energy ... 1.01 eV per atom
! Calculated volume ... 176.0 Å³/f.u.

***

! NbCu2RePb SCAN PBEsol geometry; values from VASP
&SYSTEM
  ibrav = 0, nat = 5, ntyp = 4
/
ATOMIC_SPECIES
Nb 92.91 Nb.upf
Cu 63.55 Cu.upf
Re 186.21 Re.upf
Pb 207.20 Pb.upf
ATOMIC_POSITIONS crystal
Nb 0.000 0.000 0.000
Cu 0.000 0.500 0.000
Cu 0.500 0.000 0.000
Re 0.000 0.000 0.500
Pb 0.500 0.500 0.500
CELL_PARAMETERS angstrom
4.809 0.000 0.000
0.000 4.809 0.000
0.000 0.000 4.679
! Calculated volume ... 108.2 Å³/f.u.
! E_form ... 1.562 eV/atom

***

! ZnNi2 SCAN PBEsol geometry; values from VASP
&SYSTEM
  ibrav = 0, nat = 3, ntyp = 2
/
ATOMIC_SPECIES
Zn 65.41 Zn.upf
Ni 58.69 Ni.upf
ATOMIC_POSITIONS crystal
Zn 0.000 0.000 0.000
Ni 0.330 0.330 0.000
Ni 0.670 0.670 0.000
CELL_PARAMETERS angstrom
-1.276 1.276 5.092
1.276 -1.276 5.092
1.276 1.276 -5.092
! Calculated volume ... 33.2 Å³/f.u.
! E_form ... -0.100 eV/atom

***

! K2ZrSe SCAN PBEsol geometry; values from VASP
&SYSTEM
  ibrav = 0, nat = 4, ntyp = 3
/
ATOMIC_SPECIES
K 39.10 K.upf
Zr 91.22 Zr.upf
Se 78.96 Se.upf
ATOMIC_POSITIONS crystal
K 0.236 0.236 0.236
K 0.764 0.764 0.764
Zr 0.000 0.000 0.000
Se 0.500 0.500 0.500
CELL_PARAMETERS angstrom
1.657 0.956 11.912
-1.657 0.956 11.912
0.000 -1.913 11.912
! Raw formation energy ... 0.20 eV per atom
! Calculated volume ... 113.2 Å³/f.u.

***

! MgCrNi2 SCAN PBEsol geometry; values from VASP
&SYSTEM
  ibrav = 0, nat = 4, ntyp = 3
/
ATOMIC_SPECIES
Mg 24.30 Mg.upf
Cr 52.00 Cr.upf
Ni 58.69 Ni.upf
ATOMIC_POSITIONS crystal
Mg 0.000 0.000 0.000
Cr 0.239 0.239 0.239
Ni 0.497 0.497 0.497
Ni 0.751 0.751 0.751
CELL_PARAMETERS angstrom
1.292 0.746 8.357
-1.292 0.746 8.357
0.000 -1.492 8.357
! Calculated volume ... 48.3 Å³/f.u.
! E_form ... 0.348 eV/atom

***

! TlCoAg2 SCAN PBEsol geometry; values from VASP
&SYSTEM
  ibrav = 0, nat = 4, ntyp = 3
/
ATOMIC_SPECIES
Tl 204.38 Tl.upf
Co 58.93 Co.upf
Ag 107.87 Ag.upf
ATOMIC_POSITIONS crystal
Tl 0.000 0.000 0.000
Co 0.500 0.500 0.765
Ag 0.000 0.000 0.550
Ag 0.500 0.500 0.298
CELL_PARAMETERS angstrom
3.034 0.000 0.000
0.000 3.034 0.000
0.000 0.000 7.177
! Calculated volume ... 66.1 Å³/f.u.
! E_form ... 0.331 eV/atom

***

! MoAsSe2S SCAN PBEsol geometry; values from VASP
&SYSTEM
  ibrav = 0, nat = 5, ntyp = 4
/
ATOMIC_SPECIES
Mo 95.94 Mo.upf
As 74.92 As.upf
Se 78.96 Se.upf
S 32.06 S.upf
ATOMIC_POSITIONS crystal
Mo 0.000 0.000 0.000
As 0.000 0.000 0.500
Se 0.000 0.500 0.000
Se 0.500 0.000 0.000
S 0.500 0.500 0.500
CELL_PARAMETERS angstrom
4.726 0.000 0.000
0.000 4.726 0.000
0.000 0.000 4.942
! Raw formation energy ... 0.56 eV per atom
! Calculated volume ... 110.4 Å³/f.u.

***

! ZnRuW2 SCAN PBEsol geometry; values from VASP
&SYSTEM
  ibrav = 0, nat = 4, ntyp = 3
/
ATOMIC_SPECIES
Zn 65.41 Zn.upf
Ru 101.07 Ru.upf
W 183.84 W.upf
ATOMIC_POSITIONS crystal
Zn 0.000 0.000 0.000
Ru 0.750 0.250 0.500
W 0.250 0.750 0.500
W 0.500 0.500 0.000
CELL_PARAMETERS angstrom
-1.921 1.921 3.941
1.921 -1.921 3.941
1.921 1.921 -3.941
! Calculated volume ... 58.2 Å³/f.u.
! E_form ... 0.268 eV/atom

***

! Pt2WSe SCAN PBEsol geometry; values from VASP
&SYSTEM
  ibrav = 0, nat = 4, ntyp = 3
/
ATOMIC_SPECIES
Pt 195.08 Pt.upf
W 183.84 W.upf
Se 78.96 Se.upf
ATOMIC_POSITIONS crystal
Pt 0.036 0.000 0.236
Pt 0.964 0.000 0.764
W 0.500 0.500 0.000
Se 0.500 0.500 0.500
CELL_PARAMETERS angstrom
2.797 0.000 0.000
0.000 4.038 0.000
-0.282 0.000 5.570
! Raw formation energy ... 0.26 eV per atom
! Calculated volume ... 62.9 Å³/f.u.

***

! ReRh SCAN PBEsol geometry; values from VASP
&SYSTEM
  ibrav = 0, nat = 4, ntyp = 2
/
ATOMIC_SPECIES
Re 186.21 Re.upf
Rh 102.91 Rh.upf
ATOMIC_POSITIONS crystal
Re 0.333 0.667 0.373
Re 0.667 0.333 0.627
Rh 0.333 0.667 0.871
Rh 0.667 0.333 0.129
CELL_PARAMETERS angstrom
2.723 0.000 0.000
-1.362 2.358 0.000
0.000 0.000 8.735
! Calculated volume ... 28.0 Å³/f.u.
! E_form ... -0.102 eV/atom

***

! BaSc6Ni4O15 SCAN PBEsol geometry; values from VASP
&SYSTEM
  ibrav = 0, nat = 52, ntyp = 4
/
ATOMIC_SPECIES
Ba 137.33 Ba.upf
Sc 44.96 Sc.upf
Ni 58.69 Ni.upf
O 16.00 O.upf
ATOMIC_POSITIONS crystal
Ba 0.000 0.000 0.000
Ba 0.500 0.500 0.500
Sc 0.044 0.226 0.643
Sc 0.182 0.818 0.643
Sc 0.226 0.044 0.357
Sc 0.274 0.456 0.857
Sc 0.318 0.682 0.143
Sc 0.456 0.274 0.143
Sc 0.544 0.726 0.857
Sc 0.682 0.318 0.857
Sc 0.726 0.544 0.143
Sc 0.774 0.956 0.643
Sc 0.818 0.182 0.357
Sc 0.956 0.774 0.357
Ni 0.085 0.403 0.116
Ni 0.097 0.415 0.384
Ni 0.403 0.085 0.884
Ni 0.415 0.097 0.616
Ni 0.585 0.903 0.384
Ni 0.597 0.915 0.116
Ni 0.903 0.585 0.616
Ni 0.915 0.597 0.884
O 0.000 0.000 0.500
O 0.048 0.212 0.248
O 0.049 0.451 0.750
O 0.106 0.630 0.504
O 0.130 0.606 0.004
O 0.153 0.847 0.244
O 0.212 0.048 0.752
O 0.249 0.249 0.500
O 0.251 0.251 0.000
O 0.288 0.452 0.252
O 0.347 0.653 0.744
O 0.370 0.894 0.504
O 0.394 0.870 0.004
O 0.451 0.049 0.250
O 0.452 0.288 0.748
O 0.500 0.500 0.000
O 0.548 0.712 0.252
O 0.549 0.951 0.750
O 0.606 0.130 0.996
O 0.630 0.106 0.496
O 0.653 0.347 0.256
O 0.712 0.548 0.748
O 0.749 0.749 0.000
O 0.751 0.751 0.500
O 0.788 0.952 0.248
O 0.847 0.153 0.756
O 0.870 0.394 0.996
O 0.894 0.370 0.496
O 0.951 0.549 0.250
O 0.952 0.788 0.752
CELL_PARAMETERS angstrom
5.839 -5.198 0.000
5.839 5.198 0.000
0.000 0.000 9.591
! Raw formation energy ... -2.89 eV per atom
! Calculated volume ... 291.1 Å³/f.u.

***

! LiScBeAs2 SCAN PBEsol geometry; values from VASP
&SYSTEM
  ibrav = 0, nat = 5, ntyp = 4
/
ATOMIC_SPECIES
Li 6.94 Li.upf
Sc 44.96 Sc.upf
Be 9.01 Be.upf
As 74.92 As.upf
ATOMIC_POSITIONS crystal
Li 0.000 0.000 0.000
Sc 0.000 0.000 0.500
Be 0.500 0.500 0.500
As 0.000 0.500 0.000
As 0.500 0.000 0.000
CELL_PARAMETERS angstrom
4.358 0.000 0.000
0.000 4.358 0.000
0.000 0.000 4.562
! Calculated volume ... 86.6 Å³/f.u.
! E_form ... 0.450 eV/atom

***

! Hf3AlN SCAN PBEsol geometry; values from VASP
&SYSTEM
  ibrav = 0, nat = 10, ntyp = 3
/
ATOMIC_SPECIES
Hf 178.49 Hf.upf
Al 26.98 Al.upf
N 14.01 N.upf
ATOMIC_POSITIONS crystal
Hf 0.042 0.958 0.750
Hf 0.372 0.628 0.541
Hf 0.372 0.628 0.959
Hf 0.628 0.372 0.041
Hf 0.628 0.372 0.459
Hf 0.958 0.042 0.250
Al 0.252 0.748 0.250
Al 0.748 0.252 0.750
N 0.000 0.000 0.000
N 0.000 0.000 0.500
CELL_PARAMETERS angstrom
1.642 -5.635 0.000
1.642 5.635 0.000
0.000 0.000 8.814
! Raw formation energy ... -1.05 eV per atom
! Calculated volume ... 81.5 Å³/f.u.

***

! ZrTa3Br SCAN PBEsol geometry; values from VASP
&SYSTEM
  ibrav = 0, nat = 5, ntyp = 3
/
ATOMIC_SPECIES
Zr 91.22 Zr.upf
Ta 180.95 Ta.upf
Br 79.90 Br.upf
ATOMIC_POSITIONS crystal
Zr 0.000 0.000 0.000
Ta 0.000 0.500 0.500
Ta 0.500 0.000 0.500
Ta 0.500 0.500 0.000
Br 0.500 0.500 0.500
CELL_PARAMETERS angstrom
4.689 0.000 0.000
0.000 4.689 0.000
0.000 0.000 4.689
! Raw formation energy ... 1.18 eV per atom
! Calculated volume ... 103.1 Å³/f.u.